No. 1
Computed, not measured: a geometry-optimized HfPd3I structure at the PBE level of DFT.

Energy relative to the elements, uncorrected (meV per atom): 828
Relative energy among the computed polymorphs (eV per atom): 0.3102

abc: 4.9022 4.9022 4.9022
angles: 90.00 90.00 90.00
Element x y z (fractional)
Hf 0.0000 0.0000 0.0000
Pd 0.0000 0.5000 0.5000
Pd 0.5000 0.0000 0.5000
Pd 0.5000 0.5000 0.0000
I 0.5000 0.5000 0.5000

---

No. 2
Computed, not measured: a geometry-optimized Hf2Pd2I structure at the PBE level of DFT.

Energy relative to the elements, uncorrected (meV per atom): -278
Relative energy among the computed polymorphs (eV per atom): 0.0000

abc: 7.8011 7.8011 3.4113
angles: 90.00 90.00 90.00
Element x y z (fractional)
Hf 0.1560 0.3440 0.0000
Hf 0.3440 0.8440 0.0000
Hf 0.6560 0.1560 0.0000
Hf 0.8440 0.6560 0.0000
Pd 0.1295 0.6295 0.5000
Pd 0.3705 0.1295 0.5000
Pd 0.6295 0.8705 0.5000
Pd 0.8705 0.3705 0.5000
I 0.0000 0.0000 0.5000
I 0.5000 0.5000 0.5000

---

No. 3
Computed, not measured: a geometry-optimized HfPd2I structure at the PBE level of DFT.

Energy relative to the elements, uncorrected (meV per atom): 27
Relative energy among the computed polymorphs (eV per atom): 0.0000

abc: 6.8316 6.8316 6.8316
angles: 90.00 90.00 90.00
Element x y z (fractional)
Hf 0.0000 0.0000 0.0000
Hf 0.0000 0.5000 0.5000
Hf 0.5000 0.0000 0.5000
Hf 0.5000 0.5000 0.0000
Pd 0.2500 0.2500 0.2500
Pd 0.2500 0.2500 0.7500
Pd 0.2500 0.7500 0.2500
Pd 0.2500 0.7500 0.7500
Pd 0.7500 0.2500 0.2500
Pd 0.7500 0.2500 0.7500
Pd 0.7500 0.7500 0.2500
Pd 0.7500 0.7500 0.7500
I 0.0000 0.0000 0.5000
I 0.0000 0.5000 0.0000
I 0.5000 0.0000 0.0000
I 0.5000 0.5000 0.5000

---

No. 4
Computed, not measured: a geometry-optimized HfPdI structure at the PBE level of DFT.

Energy relative to the elements, uncorrected (meV per atom): -229

abc: 12.8007 3.6814 6.3691
angles: 90.00 90.00 90.00
Element x y z (fractional)
Hf 0.1331 0.0000 0.0000
Hf 0.1331 0.5000 0.5000
Hf 0.8669 0.0000 0.0000
Hf 0.8669 0.5000 0.5000
Pd 0.0000 0.0000 0.6664
Pd 0.0000 0.5000 0.1664
Pd 0.5000 0.0000 0.3108
Pd 0.5000 0.5000 0.8108
I 0.2964 0.0000 0.3326
I 0.2964 0.5000 0.8326
I 0.7036 0.0000 0.3326
I 0.7036 0.5000 0.8326

---

No. 5
Computed, not measured: a geometry-optimized HfPd3I structure at the PBE level of DFT.

Energy relative to the elements, uncorrected (meV per atom): 518
Relative energy among the computed polymorphs (eV per atom): 0.0000

abc: 5.0059 5.0059 5.0059
angles: 90.00 90.00 90.00
Element x y z (fractional)
Hf 0.0000 0.0000 0.0000
Pd 0.0000 0.0000 0.5000
Pd 0.0000 0.5000 0.0000
Pd 0.5000 0.0000 0.0000
I 0.5000 0.5000 0.5000

---

No. 6
Computed, not measured: a geometry-optimized Hf2PdI structure at the PBE level of DFT.

Energy relative to the elements, uncorrected (meV per atom): -1
Relative energy among the computed polymorphs (eV per atom): 0.0000

abc: 6.9083 6.9083 6.9083
angles: 90.00 90.00 90.00
Element x y z (fractional)
Hf 0.2500 0.2500 0.2500
Hf 0.2500 0.2500 0.7500
Hf 0.2500 0.7500 0.2500
Hf 0.2500 0.7500 0.7500
Hf 0.7500 0.2500 0.2500
Hf 0.7500 0.2500 0.7500
Hf 0.7500 0.7500 0.2500
Hf 0.7500 0.7500 0.7500
Pd 0.0000 0.0000 0.0000
Pd 0.0000 0.5000 0.5000
Pd 0.5000 0.0000 0.5000
Pd 0.5000 0.5000 0.0000
I 0.0000 0.0000 0.5000
I 0.0000 0.5000 0.0000
I 0.5000 0.0000 0.0000
I 0.5000 0.5000 0.5000

---

No. 7
Computed, not measured: a geometry-optimized Hf2PdI structure at the PBE level of DFT.

Energy relative to the elements, uncorrected (meV per atom): 438
Relative energy among the computed polymorphs (eV per atom): 0.4389

abc: 5.9543 5.9543 13.7057
angles: 90.00 90.00 90.00
Element x y z (fractional)
Hf 0.1868 0.2500 0.1250
Hf 0.2500 0.6868 0.3750
Hf 0.2500 0.8132 0.8750
Hf 0.3132 0.2500 0.6250
Hf 0.6868 0.7500 0.6250
Hf 0.7500 0.1868 0.8750
Hf 0.7500 0.3132 0.3750
Hf 0.8132 0.7500 0.1250
Pd 0.0000 0.0000 0.0000
Pd 0.0000 0.5000 0.2500
Pd 0.5000 0.0000 0.7500
Pd 0.5000 0.5000 0.5000
I 0.0000 0.0000 0.5000
I 0.0000 0.5000 0.7500
I 0.5000 0.0000 0.2500
I 0.5000 0.5000 0.0000

---

No. 8
Computed, not measured: a geometry-optimized HfPd2I structure at the PBE level of DFT.

Energy relative to the elements, uncorrected (meV per atom): 101
Relative energy among the computed polymorphs (eV per atom): 0.0743

abc: 6.8648 6.8648 8.9070
angles: 90.00 90.00 90.00
Element x y z (fractional)
Hf 0.0000 0.0000 0.0000
Hf 0.0000 0.5000 0.2500
Hf 0.5000 0.0000 0.7500
Hf 0.5000 0.5000 0.5000
Pd 0.2263 0.7500 0.1250
Pd 0.2500 0.2263 0.8750
Pd 0.2500 0.2737 0.3750
Pd 0.2737 0.7500 0.6250
Pd 0.7263 0.2500 0.6250
Pd 0.7500 0.7263 0.3750
Pd 0.7500 0.7737 0.8750
Pd 0.7737 0.2500 0.1250
I 0.0000 0.0000 0.5000
I 0.0000 0.5000 0.7500
I 0.5000 0.0000 0.2500
I 0.5000 0.5000 0.0000

---

No. 9
Computed, not measured: a geometry-optimized Hf2Pd2I structure at the PBE level of DFT.

Energy relative to the elements, uncorrected (meV per atom): -141
Relative energy among the computed polymorphs (eV per atom): 0.1367

abc: 4.6542 4.6542 10.8178
angles: 90.00 90.00 90.00
Element x y z (fractional)
Hf 0.0000 0.5000 0.2500
Hf 0.0000 0.5000 0.7500
Hf 0.5000 0.0000 0.2500
Hf 0.5000 0.0000 0.7500
Pd 0.0000 0.0000 0.1254
Pd 0.0000 0.0000 0.8746
Pd 0.5000 0.5000 0.3746
Pd 0.5000 0.5000 0.6254
I 0.0000 0.0000 0.5000
I 0.5000 0.5000 0.0000

---

No. 10
Computed, not measured: a geometry-optimized HfSb2PdI structure at the PBE level of DFT.

Energy relative to the elements, uncorrected (meV per atom): 514
Relative energy among the computed polymorphs (eV per atom): 0.0000

abc: 5.5204 5.5204 5.5659
angles: 90.00 90.00 90.00
Element x y z (fractional)
Hf 0.0000 0.0000 0.0000
Sb 0.0000 0.5000 0.0000
Sb 0.5000 0.0000 0.0000
Pd 0.5000 0.5000 0.5000
I 0.0000 0.0000 0.5000

---

No. 11
Computed, not measured: a geometry-optimized HfSb2PdI structure at the PBE level of DFT.

Energy relative to the elements, uncorrected (meV per atom): 581
Relative energy among the computed polymorphs (eV per atom): 0.0666

abc: 5.1840 5.1840 5.3026
angles: 90.00 90.00 90.00
Element x y z (fractional)
Hf 0.0000 0.0000 0.0000
Sb 0.0000 0.5000 0.5000
Sb 0.5000 0.0000 0.5000
Pd 0.5000 0.5000 0.5000
I 0.5000 0.5000 0.0000

---

No. 12
Computed, not measured: a geometry-optimized HfSc2PdI structure at the PBE level of DFT.

Energy relative to the elements, uncorrected (meV per atom): 606

abc: 5.2195 5.2195 4.8962
angles: 90.00 90.00 90.00
Element x y z (fractional)
Hf 0.0000 0.0000 0.0000
Sc 0.0000 0.5000 0.5000
Sc 0.5000 0.0000 0.5000
Pd 0.5000 0.5000 0.0000
I 0.5000 0.5000 0.5000

---

| no. | calculated density (kg/m³) |
| --- | --- |
| 1 | 8805 |
| 2 | 11146 |
| 3 | 10796 |
| 4 | 9114 |
| 5 | 8269 |
| 6 | 11892 |
| 7 | 8069 |
| 8 | 8201 |
| 9 | 9875 |
| 10 | 6416 |
| 11 | 7636 |
| 12 | 6246 |